## i
CdIn2Sb | PBE | optimized geometry

Computed properties:
Its space group is Imm2.

Unit cell a=5.5756 b=5.5756 c=5.5756 alpha=125.56 beta=127.83 gamma=78.76
Element x y z (fractional)
Sb 0.5015 0.5015 0.0000
In 0.7495 0.2495 0.5000
In 0.9993 0.9993 0.0000
Cd 0.2498 0.7498 0.5000

## ii
CdIn2Sb | PBE | optimized geometry

Computed properties:
Its space group is P4mm.

Unit cell a=3.5297 b=3.5297 c=8.6026 alpha=90.00 beta=90.00 gamma=90.00
Element x y z (fractional)
Cd 0.5000 0.5000 0.7514
Sb 0.0000 0.0000 0.5084
In 0.5000 0.5000 0.2523
In 0.0000 0.0000 0.9879

Name the most stable of them. i.